This record from Alexandria describes a relaxed structure of La3InC. The functional is PBE.

Its theoretical density is 6.3 g cm⁻³. The excess energy over the best structure of this formula in the dataset is 0.00 kJ per mole of atoms. The calculated total energy is -28.38 eV per cell. As for the formation energy: -0.3275 eV/atom.

Structure (extended XYZ):
```
5
Lattice="5.244 0.000 0.000 0.000 5.244 0.000 0.000 0.000 5.244" Properties=species:S:1:pos:R:3 pbc="T T T"
In 2.622 2.622 2.622
La 2.622 0.000 0.000
La 0.000 0.000 2.622
La 0.000 2.622 0.000
C 0.000 0.000 0.000
```